1.
DFT (GGA-PBE) results for a relaxed Rb2HoSi2O6 crystal.

Output
The calculation puts the magnetization at 1.0 μB per formula unit. The formation energy without anion corrections is -2.552 eV per atom. For the density of states at the Fermi level, the calculation gives 0.00 states/eV/f.u. The calculation puts the uncorrected energy at -6.83 eV per atom.

Unit cell a=10.269 b=5.928 c=6.847 alpha=90.00 beta=120.00 gamma=90.00
Space group C2/m (No. 12)
One atom of each set of equivalent atoms:
Rb: 0.218 0.000 0.154 (multiplicity 4)
Ho: 0.000 0.000 0.500 (multiplicity 2)
Si: 0.074 0.500 0.222 (multiplicity 4)
O: 0.014 0.268 0.276 (multiplicity 8)
O: 0.247 0.500 0.277 (multiplicity 4)


2.
DFT (GGA-PBE) results for a relaxed CdHg2Se2 crystal.

Output
The calculation puts the magnetization at 0.0 μB per formula unit. The energy above the most stable polymorph in this dataset comes out at 166 meV/atom. The formation energy without anion corrections is 0.097 eV per atom. For the density of states at the Fermi level, the calculation gives 0.38 states/eV/f.u. The calculation puts the uncorrected energy at -1.60 eV per atom.

Unit cell a=4.555 b=4.555 c=13.895 alpha=90.00 beta=90.00 gamma=90.00
Space group I4/mmm (No. 139)
One atom of each set of equivalent atoms:
Cd: 0.000 0.000 0.000 (multiplicity 2)
Hg: 0.000 0.500 0.250 (multiplicity 4)
Se: 0.000 0.000 0.371 (multiplicity 4)


3.
DFT (GGA-PBE) results for a relaxed Nd2DySb3 crystal.

Output
The calculation puts the magnetization at 0.0 μB per formula unit. The formation energy without anion corrections is -1.164 eV per atom. For the density of states at the Fermi level, the calculation gives 1.20 states/eV/f.u. The calculation puts the uncorrected energy at -5.58 eV per atom.

Unit cell a=4.481 b=6.335 c=13.428 alpha=90.00 beta=90.00 gamma=90.00
Space group Immm (No. 71)
One atom of each set of equivalent atoms:
Nd: 0.000 0.000 0.168 (multiplicity 4)
Dy: 0.000 0.000 0.500 (multiplicity 2)
Sb: 0.000 0.500 0.162 (multiplicity 4)
Sb: 0.000 0.500 0.500 (multiplicity 2)